Crystalline Er3Se at its relaxed geometry, computed with PBE-GGA.

## Properties
- E_form (uncorrected) (eV per atom) = -0.5809
- raw total energy (Ry per atom) = -0.3582
- V (Å³ per cell) = 118.2

Cell: 3.5607 3.6132 9.1886 Å, 90.00 90.00 90.00°
Closest atoms and distances in Å follow each position.
Space group Pmm2 (No. 25)
One atom of each set of equivalent atoms:
Er (0.0000, 0.0000, 0.0000) (multiplicity 1)  2 Se 2.93
Er (0.0000, 0.5000, 0.4009) (multiplicity 1)  4 Se 2.88
Er (0.5000, 0.5000, 0.7376) (multiplicity 1)  10 Er 3.50-3.61
Se (0.5000, 0.0000, 0.2533) (multiplicity 1)  6 Er 2.88-2.93

=====

Crystalline TbNdIr at its relaxed geometry, computed with PBE-GGA.

## Properties
- DFT formation energy (kJ/mol of atoms) = -49.22
- raw total energy (Ry per atom) = -0.4848
- V (Å³ per cell) = 95.0

Cell: 4.1767 4.1767 6.2883 Å, 90.00 90.00 120.00°
Closest atoms and distances in Å follow each position.
Space group P3m1 (No. 156)
One atom of each set of equivalent atoms:
Tb (0.0000, 0.0000, 0.0000) (multiplicity 1)  3 Ir 2.78
Nd (0.3333, 0.6667, 0.4578) (multiplicity 1)  3 Ir 2.84
Ir (0.6667, 0.3333, 0.2190) (multiplicity 1)  3 Tb 2.78, 3 Nd 2.84